<P>
Density functional theory data (SCAN) for MnIrCl at its PBEsol-relaxed geometry.

abc: 2.854 2.854 6.270
angles: 90.00 90.00 120.00
Fractional positions:
Mn 0.000 0.000 0.000
Ir 0.667 0.333 0.302
Cl 0.333 0.667 0.742

M_tot	4.30	μB/cell

---

<Q>
Density functional theory data (SCAN) for MnIrCl at its PBEsol-relaxed geometry.

abc: 2.779 2.779 11.965
angles: 90.00 90.00 90.00
Fractional positions:
Mn 0.000 0.000 0.000
Mn 0.500 0.500 0.500
Ir 0.000 0.000 0.369
Ir 0.500 0.500 0.869
Cl 0.000 0.000 0.631
Cl 0.500 0.500 0.131

M_tot	6.86	μB/cell

---

<R>
Density functional theory data (SCAN) for MnIrCl at its PBEsol-relaxed geometry.

abc: 5.916 5.916 5.916
angles: 90.00 90.00 90.00
Fractional positions:
Mn 0.000 0.000 0.000
Mn 0.000 0.500 0.500
Mn 0.500 0.000 0.500
Mn 0.500 0.500 0.000
Ir 0.250 0.250 0.750
Ir 0.250 0.750 0.250
Ir 0.750 0.250 0.250
Ir 0.750 0.750 0.750
Cl 0.000 0.000 0.500
Cl 0.000 0.500 0.000
Cl 0.500 0.000 0.000
Cl 0.500 0.500 0.500

M_tot	15.84	μB/cell

---

Stability verdict: <P>, ahead by 150 meV/atom